1.
Below is an optimized crystal structure of PmEr2Al9, with properties calculated at the PBE level.

Crystal system: trigonal
Total DFT energy (no corrections) in eV/atom: -4.34
DFT formation energy in eV per atom: -0.38
Density of states at the Fermi level in states/eV per cell: 4.9
Magnetic moment in μB per cell: 0.0

Unit cell a=5.5759 b=5.5759 c=9.3233 alpha=72.60 beta=72.60 gamma=60.00
Last column: nearest neighbours and their distance in Å.
Fractional positions:
Pm: 0.0000 0.0000 0.0000  18 Al 3.22-3.55
Er: 0.8579 0.8579 0.4263  12 Al 3.18-3.28, 3 Er 3.47
Er: 0.1421 0.1421 0.5737  12 Al 3.18-3.28, 3 Er 3.47
Al: 0.6645 0.6645 0.0066  6 Al 2.71-2.76
Al: 0.3355 0.3355 0.9934  6 Al 2.71-2.76
Al: 0.5000 0.5000 0.5000  6 Al 2.72
Al: 0.4122 0.4122 0.2520  7 Al 2.71-2.85
Al: 0.9235 0.4122 0.2520  7 Al 2.71-2.85
Al: 0.4122 0.9235 0.2520  7 Al 2.71-2.85
Al: 0.5878 0.5878 0.7480  7 Al 2.71-2.85
Al: 0.5878 0.0765 0.7480  7 Al 2.71-2.85
Al: 0.0765 0.5878 0.7480  7 Al 2.71-2.85

2.
Below is an optimized crystal structure of Pm3ErAl, with properties calculated at the PBE level.

Crystal system: hexagonal
Total DFT energy (no corrections) in eV/atom: -4.44
DFT formation energy in eV per atom: 0.07
Density of states at the Fermi level in states/eV per cell: 13.6
Magnetic moment in μB per cell: 0.0

Unit cell a=5.8049 b=8.0079 c=8.0084 alpha=120.01 beta=90.00 gamma=90.00
Last column: nearest neighbours and their distance in Å.
Fractional positions:
Pm: 0.7501 0.6195 0.8098  2 Al 3.01
Pm: 0.2499 0.8098 0.6195  2 Al 3.01
Pm: 0.2499 0.3805 0.1902  2 Al 3.01
Pm: 0.7501 0.1902 0.3805  2 Al 3.01
Pm: 0.2499 0.8098 0.1903  2 Al 3.01
Pm: 0.7501 0.1902 0.8097  2 Al 3.01
Er: 0.7499 0.6665 0.3333  6 Pm 3.52
Er: 0.2501 0.3335 0.6667  6 Pm 3.52
Al: 0.0000 0.0000 0.0000  2 Al 2.90, 6 Pm 3.01
Al: 0.5000 0.0000 0.0000  2 Al 2.90, 6 Pm 3.01

3.
Below is an optimized crystal structure of Pm2Er3Al3, with properties calculated at the PBE level.

Crystal system: orthorhombic
Total DFT energy (no corrections) in eV/atom: -4.56
DFT formation energy in eV per atom: -0.26
Density of states at the Fermi level in states/eV per cell: 8.3
Magnetic moment in μB per cell: 0.0

Unit cell a=4.7987 b=4.8135 c=8.8841 alpha=90.00 beta=90.00 gamma=90.00
Last column: nearest neighbours and their distance in Å.
Fractional positions:
Pm: 0.0000 0.0000 0.7350  6 Al 3.18-3.37, 6 Er 3.36-3.40
Pm: 0.0000 0.0000 0.2650  6 Al 3.18-3.37, 6 Er 3.36-3.40
Er: 0.5000 0.5000 0.7222  6 Al 3.11-3.44, 4 Pm 3.40, 2 Er 3.45
Er: 0.5000 0.5000 0.2778  6 Al 3.11-3.44, 4 Pm 3.40, 2 Er 3.45
Er: 0.5000 0.0000 0.0000  4 Pm 3.36, 4 Al 3.40, 4 Er 3.45
Al: 0.5000 0.0000 0.5000  4 Er 3.11, 4 Pm 3.18, 4 Al 3.40
Al: 0.0000 0.5000 0.0000  4 Pm 3.37, 8 Er 3.40-3.44
Al: 0.0000 0.5000 0.5000  4 Er 3.11, 4 Pm 3.19, 4 Al 3.40